Here is crystalline BaFeP2Se8 at its relaxed geometry from Alexandria. Energies are from PBE.

## Properties
DOS(E_F), states/eV/cell: 5.2
E_tot, eV/atom: -4.49
ρ, Mg/m³: 4.87

Cell lengths 6.1822, 6.1822, 9.1439 Å; angles 90.00, 90.00, 120.00 degrees
Closest atoms and distances in Å follow each position.
Space group P-3 (No. 147)
Asymmetric unit:
Ba (0.0000, 0.0000, 0.0000) x1  12 Se 3.59-3.65
Fe (0.0000, 0.0000, 0.5000) x1  6 Se 2.42
P (0.3333, 0.6667, 0.7192) x2  4 Se 2.19-2.30
Se (0.0219, 0.7007, 0.3393) x6  1 P 2.30, 1 Fe 2.42
Se (0.3333, 0.6667, 0.9583) x2  1 P 2.19

=====

Here is crystalline KNaTl2Rh at its relaxed geometry from Alexandria. Energies are from PBE.

## Properties
DOS(E_F), states/eV/cell: 2.8
E_tot, eV/atom: -2.83
Formation energy from the elements, kJ/mol of formula units: 35
ρ, Mg/m³: 5.63
Energy above the most stable polymorph in this dataset, meV/atom: 137

Cell lengths 5.3197, 5.3197, 5.9797 Å; angles 90.00, 90.00, 90.00 degrees
Closest atoms and distances in Å follow each position.
Space group P4/mmm (No. 123)
Asymmetric unit:
K (0.0000, 0.0000, 0.0000) x1  2 Rh 2.99
Na (0.5000, 0.5000, 0.0000) x1  4 K 3.76, 8 Tl 4.00
Tl (0.0000, 0.5000, 0.5000) x2  2 Rh 2.66
Rh (0.0000, 0.0000, 0.5000) x1  4 Tl 2.66

=====

Here is crystalline PmPr6Dy4 at its relaxed geometry from Alexandria. Energies are from PBE.

## Properties
DOS(E_F), states/eV/cell: 15.8
E_tot, eV/atom: -4.57
Formation energy from the elements, kJ/mol of formula units: 153
ρ, Mg/m³: 6.99
Energy above the most stable polymorph in this dataset, meV/atom: 0

Cell lengths 11.1656, 11.1656, 3.6098 Å; angles 90.00, 90.00, 120.00 degrees
Closest atoms and distances in Å follow each position.
Space group P-6m2 (No. 187)
Asymmetric unit:
Pm (0.0000, 0.0000, 0.0000) x1  6 Dy 3.58, 2 Pm 3.61, 6 Pr 3.96
Pr (0.1824, 0.3649, 0.5000) x3  4 Dy 3.33-3.43, 2 Pr 3.61
Pr (0.5264, 0.0528, 0.0000) x3  5 Dy 3.57-3.73, 6 Pr 3.61-3.85
Dy (0.3197, 0.1599, 0.5000) x3  6 Pr 3.33-3.57, 2 Pm 3.58, 2 Dy 3.61
Dy (0.3333, 0.6667, 0.0000) x1  9 Pr 3.43-3.73, 2 Dy 3.61

=====

Here is crystalline Ba2ZrAs at its relaxed geometry from Alexandria. Energies are from PBE.

## Properties
DOS(E_F), states/eV/cell: 13.4
E_tot, eV/atom: -4.11
Formation energy from the elements, kJ/mol of formula units: 56
ρ, Mg/m³: 4.43

Cell lengths 4.3499, 4.3499, 30.2757 Å; angles 90.00, 90.00, 120.00 degrees
Closest atoms and distances in Å follow each position.
Space group R-3m (No. 166, hexagonal axes)
Asymmetric unit:
Ba (0.0000, 0.0000, 0.2299) x6  3 As 3.16
Zr (0.0000, 0.0000, 0.0000) x3  6 Ba 4.01, 6 Zr 4.35
As (0.0000, 0.0000, 0.5000) x3  6 Ba 3.16

=====

Here is crystalline PrSmDyHo3 at its relaxed geometry from Alexandria. Energies are from PBE.

## Properties
DOS(E_F), states/eV/cell: 38.1
E_tot, eV/atom: -4.44
Formation energy from the elements, kJ/mol of formula units: 113
ρ, Mg/m³: 8.01

Cell lengths 19.7269, 5.6345, 7.0799 Å; angles 90.00, 90.32, 90.00 degrees
Closest atoms and distances in Å follow each position.
Space group C2/m (No. 12)
Asymmetric unit:
Pr (0.1459, 0.0000, 0.0305) x4  1 Dy 3.02, 2 Ho 3.17-3.29
Sm (0.0534, 0.5000, 0.2634) x4  3 Ho 3.20-3.30
Dy (0.1497, 0.0000, 0.4572) x4  1 Pr 3.02, 2 Ho 3.20-3.30
Ho (0.0232, 0.0000, 0.7387) x4  1 Pr 3.17, 2 Sm 3.20, 1 Dy 3.20, 1 Ho 3.50
Ho (0.1649, 0.5000, 0.7335) x4  2 Dy 3.44, 2 Pr 3.54, 4 Ho 3.61-3.78
Ho (0.2207, 0.5000, 0.2458) x4  3 Pr 3.29-3.52, 3 Dy 3.30-3.49, 1 Sm 3.30, 3 Ho 3.61-3.63

=====

Here is crystalline Ba4NaPd2 at its relaxed geometry from Alexandria. Energies are from PBE.

## Properties
DOS(E_F), states/eV/cell: 14.8
E_tot, eV/atom: -2.74
Formation energy from the elements, kJ/mol of formula units: 19
ρ, Mg/m³: 3.85
Energy above the most stable polymorph in this dataset, meV/atom: 339

Cell lengths 6.5865, 6.5865, 15.6310 Å; angles 90.00, 90.00, 90.00 degrees
Closest atoms and distances in Å follow each position.
Space group I4/mmm (No. 139)
Asymmetric unit:
Ba (0.0000, 0.0000, 0.2350) x4  1 Pd 2.85
Ba (0.0000, 0.5000, 0.0000) x4  2 Na 3.29, 4 Pd 3.54
Na (0.0000, 0.0000, 0.0000) x2  6 Ba 3.29-3.67
Pd (0.0000, 0.0000, 0.4171) x4  1 Pd 2.59, 1 Ba 2.85

=====

Here is crystalline ScTa2Sn at its relaxed geometry from Alexandria. Energies are from PBE.

## Properties
DOS(E_F), states/eV/cell: 11.0
E_tot, eV/atom: -7.88
Formation energy from the elements, kJ/mol of formula units: 244
ρ, Mg/m³: 9.92

Cell lengths 7.9132, 7.9132, 5.6188 Å; angles 90.00, 90.00, 90.00 degrees
Closest atoms and distances in Å follow each position.
Space group I-42d (No. 122)
Asymmetric unit:
Sc (0.0000, 0.0000, 0.0000) x4  2 Sn 2.81, 4 Ta 3.00
Ta (0.2290, 0.2500, 0.6250) x8  2 Sn 2.77, 2 Ta 2.83, 2 Sc 3.00
Sn (0.0000, 0.0000, 0.5000) x4  4 Ta 2.77, 2 Sc 2.81

=====

Here is crystalline SmEr4Cu at its relaxed geometry from Alexandria. Energies are from PBE.

## Properties
DOS(E_F), states/eV/cell: 8.6
E_tot, eV/atom: -4.57
Formation energy from the elements, kJ/mol of formula units: -34
ρ, Mg/m³: 8.81

Cell lengths 3.4929, 3.4929, 13.6461 Å; angles 90.00, 90.00, 90.00 degrees
Closest atoms and distances in Å follow each position.
Space group P4/mmm (No. 123)
Asymmetric unit:
Sm (0.0000, 0.0000, 0.0000) x1  4 Sm 3.49, 8 Er 3.55
Er (0.0000, 0.0000, 0.3769) x2  4 Cu 2.99
Er (0.5000, 0.5000, 0.1871) x2  8 Er 3.49-3.58, 4 Sm 3.55
Cu (0.5000, 0.5000, 0.5000) x1  8 Er 2.99

=====

Here is crystalline Cs3Ac2HoTe6 at its relaxed geometry from Alexandria. Energies are from PBE.

## Properties
DOS(E_F), states/eV/cell: 0.0
E_tot, eV/atom: -4.30
ρ, Mg/m³: 5.55

Cell lengths 8.2918, 14.3616, 9.3869 Å; angles 90.00, 107.17, 90.00 degrees
Closest atoms and distances in Å follow each position.
Space group C2/m (No. 12)
Asymmetric unit:
Cs (0.0000, 0.0000, 0.0000) x2  6 Te 3.83-3.99
Cs (0.0000, 0.3298, 0.0000) x4  6 Te 3.83-3.96
Ac (0.0000, 0.1663, 0.5000) x4  6 Te 3.35
Ho (0.0000, 0.5000, 0.5000) x2  6 Te 3.15
Te (0.2227, 0.3427, 0.6966) x8  1 Ho 3.15, 2 Ac 3.35
Te (0.2481, 0.5000, 0.3021) x4  1 Ho 3.15, 2 Ac 3.35

=====

Here is crystalline Na2DyAlTe4 at its relaxed geometry from Alexandria. Energies are from PBE.

## Properties
DOS(E_F), states/eV/cell: 2.3
E_tot, eV/atom: -3.85
ρ, Mg/m³: 5.19

Cell lengths 8.5184, 8.9761, 12.4840 Å; angles 90.00, 90.00, 90.00 degrees
Closest atoms and distances in Å follow each position.
Space group Imma (No. 74)
Asymmetric unit:
Na (0.0000, 0.0000, 0.0000) x4  6 Te 3.12-3.16
Na (0.2500, 0.2500, 0.2500) x4  6 Te 3.28-3.33
Dy (0.0000, 0.0000, 0.5000) x4  6 Te 3.07-3.11
Al (0.2500, 0.2500, 0.7500) x4  6 Te 2.87-2.96
Te (0.0000, 0.0356, 0.7478) x8  2 Al 2.87, 1 Dy 3.11, 1 Na 3.16
Te (0.2459, 0.2500, 0.5127) x8  1 Al 2.96, 2 Dy 3.07, 3 Na 3.12-3.28

=====

Here is crystalline Ba2ScF at its relaxed geometry from Alexandria. Energies are from PBE.

## Properties
DOS(E_F), states/eV/cell: 6.5
E_tot, eV/atom: -3.98
ρ, Mg/m³: 3.58
Energy above the most stable polymorph in this dataset, meV/atom: 0

Cell lengths 8.2732, 8.2732, 9.1777 Å; angles 90.00, 90.00, 90.00 degrees
Closest atoms and distances in Å follow each position.
Space group I-42d (No. 122)
Asymmetric unit:
Ba (0.1346, 0.2500, 0.1250) x8  2 F 2.61
Sc (0.0000, 0.0000, 0.5000) x4  8 Ba 3.84-4.17
F (0.0000, 0.0000, 0.0000) x4  4 Ba 2.61

=====

Here is crystalline LiP4 at its relaxed geometry from Alexandria. Energies are from PBE.

## Properties
DOS(E_F), states/eV/cell: 2.7
E_tot, eV/atom: -3.65
Formation energy from the elements, kJ/mol of formula units: 513
ρ, Mg/m³: 2.72
Energy above the most stable polymorph in this dataset, meV/atom: 1191

Cell lengths 4.3062, 4.3062, 4.3062 Å; angles 90.00, 90.00, 90.00 degrees
Closest atoms and distances in Å follow each position.
Space group Pm-3m (No. 221)
Asymmetric unit:
Li (0.0000, 0.0000, 0.0000) x1  6 P 2.15
P (0.0000, 0.0000, 0.5000) x3  2 Li 2.15
P (0.5000, 0.5000, 0.5000) x1  12 P 3.04

=====

no.,size of the total moment (μB per cell)
1,2.04
2,0.00
3,0.00
4,9.39
5,0.00
6,0.00
7,0.00
8,0.00
9,0.00
10,0.00
11,7.98
12,0.00